(1)
Here is a crystal of HgPb relaxed with PBEsol from the Alexandria database. Energies are from meta-GGA SCAN.

Structure (POSCAR):
```
HgPb
1.0
3.4193 0.0000 0.0000
-1.7097 2.9612 0.0000
0.0000 0.0000 5.2310
Hg Pb
1 1
Direct
0.0000 0.0000 0.0000
0.3333 0.6667 0.5000
```

Total energy = -71.94 eV/atom

(2)
Here is a crystal of Hg4Pb3 relaxed with PBEsol from the Alexandria database. Energies are from meta-GGA SCAN.

Structure (POSCAR):
```
Hg4Pb3
1.0
-1.8702 1.8702 12.8916
1.8702 -1.8702 12.8916
1.8702 1.8702 -12.8916
Hg Pb
4 3
Direct
0.0737 0.0737 0.0000
0.3643 0.3643 0.0000
0.6357 0.6357 0.0000
0.9263 0.9263 0.0000
0.2077 0.2077 0.0000
0.5000 0.5000 0.0000
0.7923 0.7923 0.0000
```

Total energy = -71.38 eV/atom

(3)
Here is a crystal of HgPb relaxed with PBEsol from the Alexandria database. Energies are from meta-GGA SCAN.

Structure (POSCAR):
```
HgPb
1.0
1.8414 -2.7822 0.0000
1.8414 2.7822 0.0000
0.0000 0.0000 5.1837
Hg Pb
1 1
Direct
0.0000 0.0000 0.0000
0.5000 0.5000 0.5000
```

Total energy = -71.94 eV/atom

(4)
Here is a crystal of HgPb relaxed with PBEsol from the Alexandria database. Energies are from meta-GGA SCAN.

Structure (POSCAR):
```
HgPb
1.0
3.4812 0.0000 0.0000
0.0000 3.4812 0.0000
0.0000 0.0000 8.6271
Hg Pb
2 2
Direct
0.2500 0.2500 0.1074
0.7500 0.7500 0.8926
0.2500 0.2500 0.6423
0.7500 0.7500 0.3577
```

Total energy = -71.93 eV/atom

(5)
Here is a crystal of Hg3Pb relaxed with PBEsol from the Alexandria database. Energies are from meta-GGA SCAN.

Structure (POSCAR):
```
Hg3Pb
1.0
3.4655 0.0000 0.0000
-1.7327 3.0012 0.0000
0.0000 0.0000 9.6364
Hg Pb
3 1
Direct
0.0000 0.0000 0.0000
0.6667 0.3333 0.2352
0.6667 0.3333 0.7648
0.0000 0.0000 0.5000
```

Total energy = -70.02 eV/atom

(6)
Here is a crystal of HgPb3 relaxed with PBEsol from the Alexandria database. Energies are from meta-GGA SCAN.

Structure (POSCAR):
```
HgPb3
1.0
5.5922 -1.7531 0.0000
5.5922 1.7531 0.0000
-1.1980 0.0000 5.7040
Hg Pb
1 3
Direct
0.0000 0.0000 0.0000
0.2549 0.2549 0.7580
0.5000 0.5000 0.5000
0.7451 0.7451 0.2420
```

Total energy = -73.86 eV/atom